No. 1
First-principles (PBE) data for a relaxed structure of Pr3Cd4Rh4, as listed in Alexandria via LeMat-Bulk.

Cell: 8.699 8.699 8.699 Å, 152.54 125.22 62.35°
Fractional positions:
Pr: 0.000 0.000 0.000
Pr: 0.381 0.881 0.500
Pr: 0.619 0.119 0.500
Cd: 0.020 0.330 0.690
Cd: 0.360 0.670 0.690
Cd: 0.640 0.330 0.310
Cd: 0.980 0.670 0.310
Rh: 0.236 0.236 0.000
Rh: 0.319 0.500 0.819
Rh: 0.681 0.500 0.181
Rh: 0.764 0.764 0.000

Output
energy of formation = -448 kJ/mol of formula units
size of the total moment = 0.00 μB per formula unit
symmetry = Immm

---

No. 2
First-principles (PBE) data for a relaxed structure of Pr4CdRh, as listed in Alexandria via LeMat-Bulk.

Cell: 8.383 8.383 6.195 Å, 102.29 102.29 115.17°
Fractional positions:
Pr: 0.072 0.703 0.929
Pr: 0.203 0.349 0.651
Pr: 0.297 0.928 0.571
Pr: 0.349 0.203 0.151
Pr: 0.651 0.797 0.849
Pr: 0.703 0.072 0.429
Pr: 0.797 0.651 0.349
Pr: 0.928 0.297 0.071
Cd: 0.381 0.619 0.250
Cd: 0.619 0.381 0.750
Rh: 0.001 0.999 0.750
Rh: 0.999 0.001 0.250

Output
energy of formation = -180 kJ/mol of formula units
size of the total moment = 0.00 μB per formula unit
symmetry = C2/c

---

No. 3
First-principles (PBE) data for a relaxed structure of PrCd4Rh2, as listed in Alexandria via LeMat-Bulk.

Cell: 8.660 8.660 4.262 Å, 90.00 90.00 151.46°
Fractional positions:
Pr: 0.000 0.000 0.000
Cd: 0.179 0.821 0.500
Cd: 0.323 0.677 0.000
Cd: 0.677 0.323 0.000
Cd: 0.821 0.179 0.500
Rh: 0.427 0.573 0.500
Rh: 0.573 0.427 0.500

Output
energy of formation = -166 kJ/mol of formula units
size of the total moment = 0.00 μB per formula unit
symmetry = Cmmm

---

No. 4
First-principles (PBE) data for a relaxed structure of Pr7CdRh4, as listed in Alexandria via LeMat-Bulk.

Cell: 7.506 7.506 9.924 Å, 122.00 122.00 45.47°
Fractional positions:
Pr: 0.000 0.000 0.000
Pr: 0.175 0.175 0.624
Pr: 0.295 0.295 0.115
Pr: 0.420 0.420 0.622
Pr: 0.580 0.580 0.378
Pr: 0.705 0.705 0.885
Pr: 0.825 0.825 0.376
Cd: 0.500 0.500 0.000
Rh: 0.065 0.065 0.776
Rh: 0.202 0.202 0.337
Rh: 0.798 0.798 0.663
Rh: 0.935 0.935 0.224

Output
energy of formation = -375 kJ/mol of formula units
size of the total moment = 0.00 μB per formula unit
symmetry = C2/m

---

| no. | calculated density (g/cm3) |
| --- | --- |
| 1 | 8.7 |
| 2 | 7.2 |
| 3 | 8.7 |
| 4 | 7.7 |